First-principles (PBE) data for a relaxed structure of MnTeIN2, as listed in the Alexandria database.

Cell lengths 3.942, 3.942, 5.583 Å; angles 90.00, 90.00, 90.00 degrees
Space group P4/mmm (No. 123)
Unique sites:
Mn  0.000  0.000  0.000 (multiplicity 1)
Te  0.000  0.000  0.500 (multiplicity 1)
I  0.500  0.500  0.500 (multiplicity 1)
N  0.000  0.500  0.000 (multiplicity 2)

Values from the calculation:
Formation energy (no corrections) (meV per atom): 1119.6
E above lowest polymorph (eV per atom): 0.000
Calculated volume (Å³/cell): 87
Magnetization (μB/f.u.): 0.00
Uncorrected energy (eV per atom): -4.983